[1]
## Ba8Sb5Br (PBE)

Data for an optimized crystal structure of Ba8Sb5Br.

Cell lengths 10.547, 10.547, 10.608 Å; angles 90.00, 90.00, 90.00 degrees
Space group I-4 (No. 82)
Inequivalent atoms, fractional coordinates:
Ba 0.071 0.314 0.433 [8 per cell]
Ba 0.073 0.175 0.804 [8 per cell]
Sb 0.000 0.000 0.500 [2 per cell]
Sb 0.129 0.248 0.120 [8 per cell]
Br 0.000 0.500 0.750 [2 per cell]

## Properties
**Magnetic moment**: 0.0 μB per formula unit
**Calculated total energy**: -3.892 eV/atom
**Formation energy from raw total energies**: -115.9 kJ per mole of atoms
**Calculated density**: 5.03 g cm⁻³


[2]
## Ba4Sb2Br5 (PBE)

Data for an optimized crystal structure of Ba4Sb2Br5.

Cell lengths 20.186, 4.671, 10.325 Å; angles 90.00, 117.02, 90.00 degrees
Space group C2/m (No. 12)
Inequivalent atoms, fractional coordinates:
Ba 0.107 0.000 0.254 [4 per cell]
Ba 0.164 0.500 0.762 [4 per cell]
Sb 0.025 0.500 0.396 [4 per cell]
Br 0.000 0.500 0.000 [2 per cell]
Br 0.160 0.000 0.981 [4 per cell]
Br 0.247 0.500 0.343 [4 per cell]

## Properties
**Magnetic moment**: 0.0 μB per formula unit
**Calculated total energy**: -3.873 eV/atom
**Formation energy from raw total energies**: -160.6 kJ per mole of atoms
**Calculated density**: 4.57 g cm⁻³


[3]
## BaSbBr (PBE)

Data for an optimized crystal structure of BaSbBr.

Cell lengths 8.119, 8.119, 8.119 Å; angles 90.00, 90.00, 90.00 degrees
Space group F-43m (No. 216)
Inequivalent atoms, fractional coordinates:
Ba 0.000 0.000 0.000 [4 per cell]
Sb 0.250 0.250 0.250 [4 per cell]
Br 0.000 0.000 0.500 [4 per cell]

## Properties
**Energy relative to the lowest polymorph listed for this composition**: 0.950 eV per atom
**Magnetic moment**: 1.9 μB per formula unit
**Calculated total energy**: -3.112 eV/atom
**Formation energy from raw total energies**: -52.1 kJ per mole of atoms
**Calculated density**: 4.21 g cm⁻³